# 1
Computed, not measured: crystalline NaNdGaSe3 at its relaxed geometry at the PBE level of DFT.

Lattice parameters (Å, degrees): 4.559 13.035 11.316 90.00 90.00 90.00
Space group Cmcm (No. 63)
Symmetry-distinct sites (fractional):
Na 0.000 0.246 0.250 [4 per cell]
Nd 0.000 0.000 0.000 [4 per cell]
Ga 0.000 0.489 0.750 [4 per cell]
Se 0.000 0.078 0.750 [4 per cell]
Se 0.000 0.363 0.578 [8 per cell]

volume	672	Å³ per cell
final energy	-105.6	eV for the cell shown



# 2
Computed, not measured: crystalline NaGaNi at its relaxed geometry at the PBE level of DFT.

Lattice parameters (Å, degrees): 5.978 5.978 5.978 90.00 90.00 90.00
Space group F-43m (No. 216)
Symmetry-distinct sites (fractional):
Na 0.000 0.000 0.000 [4 per cell]
Ga 0.000 0.000 0.500 [4 per cell]
Ni 0.250 0.250 0.750 [4 per cell]

volume	214	Å³ per cell
final energy	-36.9	eV for the cell shown



Among the records above, which one has the highest final energy?
NaGaNi